(1)
Compound: InNi2Te
Source: Alexandria via LeMat-Bulk
Functional: SCAN
Structure: single point on PBEsol structure

Geometry as CIF:
```
data_InNi2Te
_symmetry_space_group_name_H-M 'P 4 m m'
_symmetry_Int_Tables_number 99
_symmetry_space_group_name_Hall 'P 4 -2'
_cell_length_a 3.296
_cell_length_b 3.296
_cell_length_c 6.496
_cell_angle_alpha 90.00
_cell_angle_beta 90.00
_cell_angle_gamma 90.00
loop_
_atom_site_label
_atom_site_type_symbol
_atom_site_fract_x
_atom_site_fract_y
_atom_site_fract_z
In1 In 0.000 0.000 0.000
Ni1 Ni 0.000 0.000 0.403
Ni2 Ni 0.500 0.500 0.190
Te1 Te 0.500 0.500 0.570
```

**Crystal system**: tetragonal
**Polymorph energy (0 for the lowest one)**: 0.0 meV per atom
**DFT total energy**: -1.888 Ry per atom

***

(2)
Compound: InNiTe2
Source: Alexandria via LeMat-Bulk
Functional: SCAN
Structure: single point on PBEsol structure

Geometry as CIF:
```
data_InNiTe2
_symmetry_space_group_name_H-M 'R -3 m'
_symmetry_Int_Tables_number 166
_symmetry_space_group_name_Hall '-R 3 2"'
_cell_length_a 3.8781
_cell_length_b 3.8781
_cell_length_c 21.3798
_cell_angle_alpha 90.00
_cell_angle_beta 90.00
_cell_angle_gamma 120.00
loop_
_atom_site_label
_atom_site_type_symbol
_atom_site_fract_x
_atom_site_fract_y
_atom_site_fract_z
In1 In 0.0000 0.0000 0.0000
Ni1 Ni 0.0000 0.0000 0.5000
Te1 Te 0.0000 0.0000 0.2287
```

**Crystal system**: trigonal
**DFT total energy**: -2.292 Ry per atom

***

(3)
Compound: InNiTe2
Source: Alexandria via LeMat-Bulk
Functional: SCAN
Structure: single point on PBEsol structure

Geometry as CIF:
```
data_InNiTe2
_symmetry_space_group_name_H-M 'P 4 m m'
_symmetry_Int_Tables_number 99
_symmetry_space_group_name_Hall 'P 4 -2'
_cell_length_a 3.137
_cell_length_b 3.137
_cell_length_c 9.375
_cell_angle_alpha 90.00
_cell_angle_beta 90.00
_cell_angle_gamma 90.00
loop_
_atom_site_label
_atom_site_type_symbol
_atom_site_fract_x
_atom_site_fract_y
_atom_site_fract_z
In1 In 0.000 0.000 0.000
Ni1 Ni 0.500 0.500 0.790
Te1 Te 0.000 0.000 0.648
Te2 Te 0.500 0.500 0.307
```

**Crystal system**: tetragonal
**DFT total energy**: -2.272 Ry per atom

***

(4)
Compound: In3NiTe
Source: Alexandria via LeMat-Bulk
Functional: SCAN
Structure: single point on PBEsol structure

Geometry as CIF:
```
data_In3NiTe
_symmetry_space_group_name_H-M 'P m -3 m'
_symmetry_Int_Tables_number 221
_symmetry_space_group_name_Hall '-P 4 2 3'
_cell_length_a 4.970
_cell_length_b 4.970
_cell_length_c 4.970
_cell_angle_alpha 90.00
_cell_angle_beta 90.00
_cell_angle_gamma 90.00
loop_
_atom_site_label
_atom_site_type_symbol
_atom_site_fract_x
_atom_site_fract_y
_atom_site_fract_z
In1 In 0.000 0.000 0.500
Ni1 Ni 0.000 0.000 0.000
Te1 Te 0.500 0.500 0.500
```

**Crystal system**: cubic
**Polymorph energy (0 for the lowest one)**: 0.0 meV per atom
**DFT total energy**: -2.266 Ry per atom

***

(5)
Compound: In2NiTe
Source: Alexandria via LeMat-Bulk
Functional: SCAN
Structure: single point on PBEsol structure

Geometry as CIF:
```
data_In2NiTe
_symmetry_space_group_name_H-M 'I m m m'
_symmetry_Int_Tables_number 71
_symmetry_space_group_name_Hall '-I 2 2'
_cell_length_a 3.266
_cell_length_b 4.225
_cell_length_c 12.794
_cell_angle_alpha 90.00
_cell_angle_beta 90.00
_cell_angle_gamma 90.00
loop_
_atom_site_label
_atom_site_type_symbol
_atom_site_fract_x
_atom_site_fract_y
_atom_site_fract_z
In1 In 0.000 0.000 0.181
Ni1 Ni 0.000 0.500 0.500
Te1 Te 0.000 0.500 0.000
```

**Crystal system**: orthorhombic
**DFT total energy**: -2.205 Ry per atom

***

(6)
Compound: InNiTe2
Source: Alexandria via LeMat-Bulk
Functional: SCAN
Structure: single point on PBEsol structure

Geometry as CIF:
```
data_InNiTe2
_symmetry_space_group_name_H-M 'I -4 m 2'
_symmetry_Int_Tables_number 119
_symmetry_space_group_name_Hall 'I -4 -2'
_cell_length_a 3.999
_cell_length_b 3.999
_cell_length_c 11.754
_cell_angle_alpha 90.00
_cell_angle_beta 90.00
_cell_angle_gamma 90.00
loop_
_atom_site_label
_atom_site_type_symbol
_atom_site_fract_x
_atom_site_fract_y
_atom_site_fract_z
In1 In 0.000 0.000 0.000
Ni1 Ni 0.000 0.500 0.250
Te1 Te 0.000 0.000 0.500
Te2 Te 0.000 0.500 0.750
```

**Crystal system**: tetragonal
**DFT total energy**: -2.251 Ry per atom

***

(7)
Compound: InNi2Te
Source: Alexandria via LeMat-Bulk
Functional: SCAN
Structure: single point on PBEsol structure

Geometry as CIF:
```
data_InNi2Te
_symmetry_space_group_name_H-M 'P 4/m m m'
_symmetry_Int_Tables_number 123
_symmetry_space_group_name_Hall '-P 4 2'
_cell_length_a 3.235
_cell_length_b 3.235
_cell_length_c 6.113
_cell_angle_alpha 90.00
_cell_angle_beta 90.00
_cell_angle_gamma 90.00
loop_
_atom_site_label
_atom_site_type_symbol
_atom_site_fract_x
_atom_site_fract_y
_atom_site_fract_z
In1 In 0.000 0.000 0.000
Ni1 Ni 0.500 0.500 0.238
Te1 Te 0.000 0.000 0.500
```

**Crystal system**: tetragonal
**Polymorph energy (0 for the lowest one)**: 110.9 meV per atom
**DFT total energy**: -1.880 Ry per atom

***

(8)
Compound: InNi2Te
Source: Alexandria via LeMat-Bulk
Functional: SCAN
Structure: single point on PBEsol structure

Geometry as CIF:
```
data_InNi2Te
_symmetry_space_group_name_H-M 'C 1 2/m 1'
_symmetry_Int_Tables_number 12
_symmetry_space_group_name_Hall '-C 2y'
_cell_length_a 7.383
_cell_length_b 3.325
_cell_length_c 5.746
_cell_angle_alpha 90.00
_cell_angle_beta 104.56
_cell_angle_gamma 90.00
loop_
_atom_site_label
_atom_site_type_symbol
_atom_site_fract_x
_atom_site_fract_y
_atom_site_fract_z
In1 In 0.000 0.000 0.000
Ni1 Ni 0.248 0.000 0.742
Te1 Te 0.000 0.500 0.500
```

**Crystal system**: monoclinic
**Polymorph energy (0 for the lowest one)**: 84.1 meV per atom
**DFT total energy**: -1.882 Ry per atom

***

(9)
Compound: In3NiTe
Source: Alexandria via LeMat-Bulk
Functional: SCAN
Structure: single point on PBEsol structure

Geometry as CIF:
```
data_In3NiTe
_symmetry_space_group_name_H-M 'P m -3 m'
_symmetry_Int_Tables_number 221
_symmetry_space_group_name_Hall '-P 4 2 3'
_cell_length_a 5.615
_cell_length_b 5.615
_cell_length_c 5.615
_cell_angle_alpha 90.00
_cell_angle_beta 90.00
_cell_angle_gamma 90.00
loop_
_atom_site_label
_atom_site_type_symbol
_atom_site_fract_x
_atom_site_fract_y
_atom_site_fract_z
In1 In 0.000 0.000 0.500
Ni1 Ni 0.500 0.500 0.500
Te1 Te 0.000 0.000 0.000
```

**Crystal system**: cubic
**Polymorph energy (0 for the lowest one)**: 1247.3 meV per atom
**DFT total energy**: -2.174 Ry per atom

***

(10)
Compound: InNi3Te
Source: Alexandria via LeMat-Bulk
Functional: SCAN
Structure: single point on PBEsol structure

Geometry as CIF:
```
data_InNi3Te
_symmetry_space_group_name_H-M 'P m -3 m'
_symmetry_Int_Tables_number 221
_symmetry_space_group_name_Hall '-P 4 2 3'
_cell_length_a 4.588
_cell_length_b 4.588
_cell_length_c 4.588
_cell_angle_alpha 90.00
_cell_angle_beta 90.00
_cell_angle_gamma 90.00
loop_
_atom_site_label
_atom_site_type_symbol
_atom_site_fract_x
_atom_site_fract_y
_atom_site_fract_z
In1 In 0.000 0.000 0.000
Ni1 Ni 0.000 0.000 0.500
Te1 Te 0.500 0.500 0.500
```

**Crystal system**: cubic
**DFT total energy**: -1.672 Ry per atom

***

(11)
Compound: ThInNi
Source: Alexandria via LeMat-Bulk
Functional: SCAN
Structure: single point on PBEsol structure

Geometry as CIF:
```
data_ThInNi
_symmetry_space_group_name_H-M 'P -6 2 m'
_symmetry_Int_Tables_number 189
_symmetry_space_group_name_Hall 'P -6 -2'
_cell_length_a 7.2309
_cell_length_b 7.2309
_cell_length_c 4.1276
_cell_angle_alpha 90.00
_cell_angle_beta 90.00
_cell_angle_gamma 120.00
loop_
_atom_site_label
_atom_site_type_symbol
_atom_site_fract_x
_atom_site_fract_y
_atom_site_fract_z
Th1 Th 0.0000 0.5822 0.0000
In1 In 0.0000 0.2435 0.5000
Ni1 Ni 0.0000 0.0000 0.0000
Ni2 Ni 0.3333 0.6667 0.5000
```

**Crystal system**: hexagonal
**Formation enthalpy at 0 K**: -0.5086 eV/atom
**DFT total energy**: -3.602 Ry per atom

***

(12)
Compound: TiInNi2
Source: Alexandria via LeMat-Bulk
Functional: SCAN
Structure: single point on PBEsol structure

Geometry as CIF:
```
data_TiInNi2
_symmetry_space_group_name_H-M 'F m -3 m'
_symmetry_Int_Tables_number 225
_symmetry_space_group_name_Hall '-F 4 2 3'
_cell_length_a 6.033
_cell_length_b 6.033
_cell_length_c 6.033
_cell_angle_alpha 90.00
_cell_angle_beta 90.00
_cell_angle_gamma 90.00
loop_
_atom_site_label
_atom_site_type_symbol
_atom_site_fract_x
_atom_site_fract_y
_atom_site_fract_z
Ti1 Ti 0.000 0.000 0.000
In1 In 0.000 0.000 0.500
Ni1 Ni 0.250 0.250 0.250
```

**Crystal system**: cubic
**Formation enthalpy at 0 K**: -0.3761 eV/atom
**DFT total energy**: -1.530 Ry per atom

***

> Look up the DFT total energy of the fourth one.

-2.266 Ry per atom